First-principles (SCAN) data for a PBEsol-optimized structure of CuSi3Pt, as listed in Alexandria.

## Properties
The density of states at the Fermi level is 2.29 states/eV/cell. For the formation energy from raw total energies, the calculation gives 4.162 eV per formula unit. As for the symmetry: Pm-3m. The value obtained for the final energy is -111.278 eV/cell.

a b c (Å): 4.3621 4.3621 4.3621
angles (deg): 90.00 90.00 90.00
Closest atoms and distances in Å follow each position.
Sites, in units of the cell vectors:
Cu 0.0000 0.0000 0.0000  6 Si 2.18
Si 0.0000 0.0000 0.5000  2 Cu 2.18
Si 0.0000 0.5000 0.0000  2 Cu 2.18
Si 0.5000 0.0000 0.0000  2 Cu 2.18
Pt 0.5000 0.5000 0.5000  12 Si 3.08